The following is a PBE calculation of a relaxed structure of Li2LaW, from Alexandria via LeMat-Bulk.

Results
- DOS(E_F) (states/eV per cell) = 10.7
- E (eV/atom) = -4.76
- DFT formation energy (eV/atom) = 0.664
- offset from the most stable computed form (eV/atom) = 0.162

a = 2.9413 Å, b = 2.9413 Å, c = 32.5642 Å
α = 90.00°, β = 90.00°, γ = 120.00°
Closest atoms and distances in Å follow each position.
Space group R-3m (No. 166, hexagonal axes)
Unique sites:
Li: 0.0000 0.0000 0.2393  3 W 2.91, 6 Li 2.94
La: 0.0000 0.0000 0.0000  6 La 2.94
W: 0.0000 0.0000 0.5000  6 Li 2.91, 6 W 2.94